DFT (meta-GGA SCAN) results for a crystal of Ta2CrIr relaxed with PBEsol.

Lattice parameters (Å, degrees): 2.7678 2.7678 27.8762 90.00 90.00 120.00
Space group R3m (No. 160, hexagonal axes)
Asymmetric unit:
Ta 0.0000 0.0000 0.0000 [3 per cell]
Ta 0.0000 0.0000 0.2400 [3 per cell]
Cr 0.0000 0.0000 0.4896 [3 per cell]
Ir 0.0000 0.0000 0.7515 [3 per cell]

## Properties
spin magnetization: 0.0 μB per cell
VASP energy: -222.15 eV per formula unit
Fermi-level density of states: 11.73 states/eV/cell
ΔE_f: 0.126 eV per atom